This record from the Alexandria database describes a geometry-optimized Tc2PW structure. The functional is GGA-PBE.

a = 4.307 Å, b = 4.307 Å, c = 3.078 Å
α = 90.00°, β = 90.00°, γ = 90.00°
Fractional coordinates of all 4 atoms:
W: 0.500 0.500 0.500
Tc: 0.500 0.000 0.000
Tc: 0.000 0.500 0.000
P: 0.000 0.000 0.500

Output
The value obtained for the formation energy is 0 kJ per mole of atoms. As for the space group: No. 123. The magnetization comes out at 0.0 μB per cell.

---

This record from the Alexandria database describes a geometry-optimized Cu3TcIr structure. The functional is GGA-PBE.

a = 4.598 Å, b = 4.598 Å, c = 4.598 Å
α = 90.00°, β = 90.00°, γ = 90.00°
Last column: magnetic moment on the atom in μB.
Fractional coordinates of all 5 atoms:
Cu: 0.500 0.000 0.000  0.07
Cu: 0.000 0.000 0.500  0.10
Cu: 0.000 0.500 0.000  0.08
Tc: 0.500 0.500 0.500  3.41
Ir: 0.000 0.000 0.000  0.43

Output
The value obtained for the formation energy is 148 kJ per mole of atoms. As for the space group: No. 221. The magnetization comes out at 4.4 μB per cell. As for the distance to the lowest polymorph of the same formula: 0.000 eV per atom.

---

This record from the Alexandria database describes a geometry-optimized K3ThCl8 structure. The functional is GGA-PBE.

a = 7.247 Å, b = 7.247 Å, c = 7.247 Å
α = 90.00°, β = 90.00°, γ = 90.00°
Fractional coordinates of all 12 atoms:
Cl: 0.226 0.226 0.226
Cl: 0.774 0.774 0.774
Cl: 0.226 0.774 0.774
Cl: 0.774 0.226 0.774
Cl: 0.226 0.226 0.774
Cl: 0.774 0.226 0.226
Cl: 0.774 0.774 0.226
Cl: 0.226 0.774 0.226
Th: 0.000 0.000 0.000
K: 0.500 0.500 0.000
K: 0.000 0.500 0.500
K: 0.500 0.000 0.500

Output
As for the space group: No. 221. The raw formation energy is -2134 kJ/mol of formula units. The magnetization comes out at 0.0 μB per cell.

---

This record from the Alexandria database describes a geometry-optimized Cs3Hg2Cl structure. The functional is GGA-PBE.

a = 10.115 Å, b = 10.115 Å, c = 9.902 Å
α = 90.00°, β = 90.00°, γ = 142.28°
Fractional coordinates of all 12 atoms:
Cs: 0.500 0.500 0.750
Cs: 0.860 0.140 0.500
Cs: 0.140 0.860 0.000
Cs: 0.140 0.860 0.500
Cs: 0.500 0.500 0.250
Cs: 0.860 0.140 0.000
Hg: 0.292 0.709 0.750
Hg: 0.291 0.708 0.250
Hg: 0.708 0.291 0.250
Hg: 0.709 0.292 0.750
Cl: 0.000 0.000 0.250
Cl: 0.000 0.000 0.750

Output
As for the space group: No. 65. The raw formation energy is -427 kJ/mol of formula units. The magnetization comes out at 0.0 μB per cell.

---

This record from the Alexandria database describes a geometry-optimized CoB3Ir6 structure. The functional is GGA-PBE.

a = 2.796 Å, b = 9.503 Å, c = 10.028 Å
α = 113.14°, β = 90.00°, γ = 90.00°
Last column: magnetic moment on the atom in μB.
Fractional coordinates of all 20 atoms:
Ir: 0.250 0.612 0.691  0.03
Ir: 0.750 0.388 0.309  0.03
Ir: 0.750 0.217 0.695  0.17
Ir: 0.750 0.705 0.511  0.15
Ir: 0.250 0.468 0.106  0.03
Ir: 0.250 0.783 0.305  0.17
Ir: 0.750 0.847 0.078  0.04
Ir: 0.750 0.532 0.894  0.03
Ir: 0.250 0.295 0.489  0.15
Ir: 0.250 0.108 0.202  0.09
Ir: 0.750 0.892 0.798  0.09
Ir: 0.250 0.153 0.922  0.04
B: 0.750 0.213 0.098  0.00
B: 0.750 0.654 0.135  -0.01
B: 0.750 0.423 0.651  -0.01
B: 0.250 0.787 0.902  0.00
B: 0.250 0.346 0.865  -0.01
B: 0.250 0.577 0.349  -0.01
Co: 0.750 0.036 0.411  1.82
Co: 0.250 0.964 0.589  1.82

Output
The value obtained for the formation energy is -12 kJ per mole of atoms. As for the space group: No. 11. The magnetization comes out at 4.6 μB per cell.